No. 1
A plane-wave DFT calculation with PBE was carried out for an optimized crystal structure of Tm2PaRh.

Its offset from the most stable computed form is 0 meV/atom. As for the total energy: -27.20 eV per cell. The size of the total moment comes out at 0.11 μB per atom. The value obtained for the formation energy from the elements is -34 kJ/mol of atoms. The calculation puts the density of states at the Fermi level at 1.22 states/eV/atom.

It has space group P4/mmm (No. 123), with a = 3.343 Å, b = 3.343 Å, c = 8.328 Å, α = 90.00°, β = 90.00° and γ = 90.00°. The inequivalent atoms are Tm at (0.000, 0.000, 0.203), Pa at (0.500, 0.500, 0.500) and Rh at (0.500, 0.500, 0.000).


No. 2
A plane-wave DFT calculation with PBE was carried out for an optimized crystal structure of GaNiPAu2.

As for the total energy: -16.61 eV per cell. The size of the total moment comes out at 0.00 μB per atom. The value obtained for the formation energy from the elements is 80 kJ/mol of atoms. The calculation puts the density of states at the Fermi level at 0.41 states/eV/atom.

It has space group P4/mmm (No. 123), with a = 4.783 Å, b = 4.783 Å, c = 4.412 Å, α = 90.00°, β = 90.00° and γ = 90.00°. The inequivalent atoms are Ga at (0.000, 0.000, 0.000), Ni at (0.000, 0.000, 0.500), P at (0.500, 0.500, 0.500) and Au at (0.000, 0.500, 0.000).


No. 3
A plane-wave DFT calculation with PBE was carried out for an optimized crystal structure of CePrPt3.

Its offset from the most stable computed form is 37 meV/atom. As for the total energy: -135.73 eV per cell. The size of the total moment comes out at 0.08 μB per atom. The value obtained for the formation energy from the elements is -98 kJ/mol of atoms. The calculation puts the density of states at the Fermi level at 1.14 states/eV/atom.

It has space group Pnnm (No. 58), with a = 7.169 Å, b = 7.925 Å, c = 7.877 Å, α = 90.00°, β = 90.00° and γ = 90.00°. The inequivalent atoms are Ce at (0.215, 0.137, 0.000), Pr at (0.211, 0.139, 0.500), Pt at (0.000, 0.500, 0.265) and Pt at (0.119, 0.857, 0.250).


No. 4
A plane-wave DFT calculation with PBE was carried out for an optimized crystal structure of BeFeGe2.

As for the total energy: -77.29 eV per cell. The size of the total moment comes out at 0.61 μB per atom. The value obtained for the formation energy from the elements is 51 kJ/mol of atoms. The calculation puts the density of states at the Fermi level at 0.78 states/eV/atom.

It has space group I-42d (No. 122), with a = 6.827 Å, b = 6.827 Å, c = 5.160 Å, α = 90.00°, β = 90.00° and γ = 90.00°. The inequivalent atoms are Be at (0.000, 0.000, 0.000), Fe at (0.000, 0.000, 0.500) and Ge at (0.227, 0.750, 0.125).


No. 5
A plane-wave DFT calculation with PBE was carried out for an optimized crystal structure of Tc2SnTeSe.

As for the total energy: -24.47 eV per cell. As for the raw formation energy: 1.378 eV/atom. The size of the total moment comes out at 0.79 μB per atom. The calculation puts the density of states at the Fermi level at 1.10 states/eV/atom.

It has space group P4/mmm (No. 123), with a = 4.947 Å, b = 4.947 Å, c = 5.582 Å, α = 90.00°, β = 90.00° and γ = 90.00°. The inequivalent atoms are Tc at (0.000, 0.500, 0.000), Sn at (0.000, 0.000, 0.500), Te at (0.500, 0.500, 0.000) and Se at (0.500, 0.500, 0.500).


No. 6
A plane-wave DFT calculation with PBE was carried out for an optimized crystal structure of Tb2HoPt.

Its offset from the most stable computed form is 145 meV/atom. As for the total energy: -22.15 eV per cell. The size of the total moment comes out at 0.00 μB per atom. The value obtained for the formation energy from the elements is -55 kJ/mol of atoms. The calculation puts the density of states at the Fermi level at 1.23 states/eV/atom.

It has space group P4/mmm (No. 123), with a = 3.589 Å, b = 3.589 Å, c = 8.379 Å, α = 90.00°, β = 90.00° and γ = 90.00°. The inequivalent atoms are Tb at (0.000, 0.000, 0.197), Ho at (0.500, 0.500, 0.500) and Pt at (0.500, 0.500, 0.000).


No. 7
A plane-wave DFT calculation with PBE was carried out for an optimized crystal structure of Si2IrSe.

As for the total energy: -46.99 eV per cell. As for the raw formation energy: -0.076 eV/atom. The size of the total moment comes out at 0.00 μB per atom. The calculation puts the density of states at the Fermi level at 0.21 states/eV/atom.

It has space group C2/m (No. 12), with a = 5.981 Å, b = 3.448 Å, c = 6.796 Å, α = 90.00°, β = 107.41° and γ = 90.00°. The inequivalent atoms are Si at (0.242, 0.000, 0.221), Ir at (0.000, 0.500, 0.000) and Se at (0.000, 0.000, 0.500).


No. 8
A plane-wave DFT calculation with PBE was carried out for an optimized crystal structure of TcRu2Se.

As for the total energy: -30.20 eV per cell. As for the raw formation energy: 0.551 eV/atom. The size of the total moment comes out at 0.00 μB per atom. The calculation puts the density of states at the Fermi level at 1.61 states/eV/atom.

It has space group P4/mmm (No. 123), with a = 4.009 Å, b = 4.009 Å, c = 3.681 Å, α = 90.00°, β = 90.00° and γ = 90.00°. The inequivalent atoms are Tc at (0.000, 0.000, 0.000), Ru at (0.000, 0.500, 0.500) and Se at (0.500, 0.500, 0.000).